This record from the Alexandria database describes Sb4I2O5 after structural relaxation. The functional is PBEsol.

Unit cell a=5.180 b=7.015 c=13.571 alpha=96.69 beta=90.00 gamma=90.00
Atoms (fractional coordinates):
Sb 0.881 0.815 0.203
Sb 0.381 0.185 0.297
Sb 0.119 0.185 0.797
Sb 0.619 0.815 0.703
Sb 0.778 0.166 0.053
Sb 0.278 0.834 0.447
Sb 0.222 0.834 0.947
Sb 0.722 0.166 0.553
I 0.793 0.494 0.380
I 0.293 0.506 0.120
I 0.207 0.506 0.620
I 0.707 0.494 0.880
O 0.992 0.065 0.918
O 0.492 0.935 0.582
O 0.008 0.935 0.082
O 0.508 0.065 0.418
O 0.667 0.071 0.209
O 0.167 0.929 0.291
O 0.333 0.929 0.791
O 0.833 0.071 0.709
O 0.000 0.000 0.500
O 0.500 0.000 0.000

Calculated values
ΔE_f (raw): -1.1058 eV per atom
spin magnetization: 0.00 μB per formula unit